{
  "formula": "La6Pr5Sc2",
  "functional": "PBE",
  "state": "relaxed",
  "lattice": [[3.5737, 0.0000, 0.0000], [0.0000, 10.9972, 0.0000], [0.0000, 0.0000, 23.3165]],
  "species": ["La", "La", "La", "La", "La", "La", "La", "La", "La", "La", "La", "La", "Pr", "Pr", "Pr", "Pr", "Pr", "Pr", "Pr", "Pr", "Pr", "Pr", "Sc", "Sc", "Sc", "Sc"],
  "frac_coords": [[0.0000, 0.1470, 0.3829], [0.0000, 0.8530, 0.6171], [0.0000, 0.6470, 0.1171], [0.0000, 0.3530, 0.8829], [0.5000, 0.3338, 0.1372], [0.5000, 0.6662, 0.8628], [0.5000, 0.8338, 0.3628], [0.5000, 0.1662, 0.6372], [0.0000, 0.5162, 0.3856], [0.0000, 0.4838, 0.6144], [0.0000, 0.0162, 0.1144], [0.0000, 0.9838, 0.8856], [0.5000, 0.3326, 0.4986], [0.5000, 0.6674, 0.5014], [0.5000, 0.8326, 0.0014], [0.5000, 0.1674, 0.9986], [0.5000, 0.5824, 0.2511], [0.5000, 0.4176, 0.7489], [0.5000, 0.0824, 0.2489], [0.5000, 0.9176, 0.7511], [0.5000, 0.5000, 0.0000], [0.5000, 0.0000, 0.5000], [0.0000, 0.3322, 0.2666], [0.0000, 0.6678, 0.7334], [0.0000, 0.8322, 0.2334], [0.0000, 0.1678, 0.7666]],
  "total_energy_ha_per_atom": -0.18203,
  "space_group": "Pbam",
  "ef_ev_per_fu": 1.7,
  "n_ef_per_ev_cell": 39.06
}

***

{
  "formula": "Ru2WBr",
  "functional": "PBE",
  "state": "relaxed",
  "lattice": [[-2.3723, -4.3701, -2.9827], [4.5857, -3.3288, 1.2299], [-1.3139, -5.5514, 3.5425]],
  "species": ["Ru", "Ru", "Ru", "Ru", "Br", "Br", "W", "W"],
  "frac_coords": [[0.6381, 0.1250, 0.2500], [0.1119, 0.6250, 0.2500], [0.3750, 0.3619, 0.7500], [0.8750, 0.8881, 0.7500], [0.5000, 0.5000, 0.0000], [0.2500, 0.7500, 0.5000], [0.0000, 0.0000, 0.0000], [0.7500, 0.2500, 0.5000]],
  "total_energy_ha_per_atom": -0.26814,
  "space_group": "I-42d",
  "formation_energy_uncorrected_kj_per_mol_atoms": 96,
  "n_ef_per_ev_cell": 7.34
}

***

{
  "formula": "Si2IrSe",
  "functional": "PBE",
  "state": "relaxed",
  "lattice": [[2.8415, 0.0000, 0.0000], [0.0000, 5.4014, 0.0458], [0.0000, 3.0944, 4.4273]],
  "species": ["Ir", "Se", "Si", "Si"],
  "frac_coords": [[0.5000, 0.2500, 0.2500], [0.5000, 0.7500, 0.7500], [0.0000, 0.0403, 0.0403], [0.0000, 0.4597, 0.4597]],
  "total_energy_ha_per_atom": -0.21329,
  "space_group": "Cmmm",
  "formation_energy_uncorrected_kj_per_mol_atoms": -1,
  "n_ef_per_ev_cell": 1.33
}

***

{
  "formula": "GaSiPd",
  "functional": "PBE",
  "state": "relaxed",
  "lattice": [[-2.2142, -1.7227, -3.0771], [-2.0783, -3.5467, 0.6637], [-4.1608, 0.0242, 0.1629]],
  "species": ["Si", "Ga", "Pd"],
  "frac_coords": [[0.0000, 0.0000, 0.0000], [0.5000, 0.5000, 0.5000], [0.2500, 0.2500, 0.2500]],
  "total_energy_ha_per_atom": -0.17900,
  "space_group": "F-43m",
  "formation_energy_uncorrected_kj_per_mol_atoms": -31,
  "n_ef_per_ev_cell": 1.45
}

***

{
  "formula": "Fe3GeBr",
  "functional": "PBE",
  "state": "relaxed",
  "lattice": [[4.7357, 0.0000, 0.0000], [0.0000, 4.7357, 0.0000], [0.0000, 0.0000, 4.7357]],
  "species": ["Ge", "Fe", "Fe", "Fe", "Br"],
  "frac_coords": [[0.0000, 0.0000, 0.0000], [0.0000, 0.5000, 0.0000], [0.0000, 0.0000, 0.5000], [0.5000, 0.0000, 0.0000], [0.5000, 0.5000, 0.5000]],
  "total_energy_ha_per_atom": -0.19638,
  "space_group": "Pm-3m",
  "formation_energy_uncorrected_kj_per_mol_atoms": 96,
  "n_ef_per_ev_cell": 12.41
}

***

{
  "formula": "Ce2Pm2Bi5",
  "functional": "PBE",
  "state": "relaxed",
  "lattice": [[8.5532, 0.0000, 0.0000], [0.0000, 7.8890, -4.5167], [0.0000, -0.7091, 9.0628]],
  "species": ["Ce", "Ce", "Ce", "Ce", "Pm", "Pm", "Pm", "Pm", "Bi", "Bi", "Bi", "Bi", "Bi", "Bi", "Bi", "Bi", "Bi", "Bi"],
  "frac_coords": [[0.0000, 0.8076, 0.1924], [0.5000, 0.3076, 0.6924], [0.0000, 0.1924, 0.8076], [0.5000, 0.6924, 0.3076], [0.3442, 0.1528, 0.1528], [0.6558, 0.8472, 0.8472], [0.8442, 0.3472, 0.3472], [0.1558, 0.6528, 0.6528], [0.0000, 0.0000, 0.0000], [0.5000, 0.5000, 0.5000], [0.1524, 0.2038, 0.4869], [0.8476, 0.5131, 0.7962], [0.6524, 0.0131, 0.2962], [0.3476, 0.7038, 0.9869], [0.8476, 0.7962, 0.5131], [0.1524, 0.4869, 0.2038], [0.3476, 0.9869, 0.7038], [0.6524, 0.2962, 0.0131]],
  "total_energy_ha_per_atom": -0.19273,
  "space_group": "Cmce",
  "ef_ev_per_fu": -6.4,
  "n_ef_per_ev_cell": 21.10
}

***

{
  "formula": "RbSnBr2",
  "functional": "PBE",
  "state": "relaxed",
  "lattice": [[2.4935, 0.0000, 10.1842], [-1.2467, 2.1594, 10.1842], [-1.2467, -2.1594, 10.1842]],
  "species": ["Br", "Br", "Sn", "Rb"],
  "frac_coords": [[0.9067, 0.9067, 0.9067], [0.0933, 0.0933, 0.0933], [0.0000, 0.0000, 0.0000], [0.5000, 0.5000, 0.5000]],
  "total_energy_ha_per_atom": -0.10729,
  "space_group": "R-3m",
  "formation_energy_uncorrected_kj_per_mol_atoms": -81,
  "n_ef_per_ev_cell": 1.07
}

***

{
  "formula": "LiTlTc2",
  "functional": "PBE",
  "state": "relaxed",
  "lattice": [[-3.0066, -1.5478, -3.0682], [-0.2442, -2.6020, -3.7443], [-1.1540, -4.4540, 2.2301]],
  "species": ["Li", "Tc", "Tc", "Tl"],
  "frac_coords": [[0.2496, 0.2496, 0.2590], [0.0093, 0.0093, 0.9639], [0.7442, 0.7442, 0.8078], [0.4969, 0.4969, 0.4692]],
  "total_energy_ha_per_atom": -0.21538,
  "space_group": "Cm",
  "ef_ev_per_fu": 1.6,
  "n_ef_per_ev_cell": 3.15
}

***

{
  "formula": "Er2BeGa8",
  "functional": "PBE",
  "state": "relaxed",
  "lattice": [[-3.7727, 0.6303, -1.9641], [-1.7171, -3.2283, 2.2622], [-2.8931, 7.0089, 7.8061]],
  "species": ["Er", "Er", "Be", "Ga", "Ga", "Ga", "Ga", "Ga", "Ga", "Ga", "Ga"],
  "frac_coords": [[0.0000, 0.0000, 0.3053], [0.0000, 0.0000, 0.6947], [0.0000, 0.0000, 0.0000], [0.0000, 0.5000, 0.5000], [0.5000, 0.0000, 0.5000], [0.5000, 0.5000, 0.3013], [0.5000, 0.5000, 0.6987], [0.0000, 0.5000, 0.1192], [0.5000, 0.0000, 0.1192], [0.0000, 0.5000, 0.8808], [0.5000, 0.0000, 0.8808]],
  "total_energy_ha_per_atom": -0.13660,
  "space_group": "P4/mmm",
  "ef_ev_per_fu": -3.8,
  "n_ef_per_ev_cell": 2.38
}

***

{
  "formula": "BaPm2Pd9",
  "functional": "PBE",
  "state": "relaxed",
  "lattice": [[-1.9164, -5.1755, -0.1979], [1.9145, -3.7903, 3.5308], [-6.4729, -0.8155, 6.9531]],
  "species": ["Ba", "Pm", "Pm", "Pd", "Pd", "Pd", "Pd", "Pd", "Pd", "Pd", "Pd", "Pd"],
  "frac_coords": [[0.0000, 0.0000, 0.0000], [0.8606, 0.8606, 0.4183], [0.1394, 0.1394, 0.5817], [0.6669, 0.6669, 0.9994], [0.3331, 0.3331, 0.0006], [0.5000, 0.5000, 0.5000], [0.4115, 0.4115, 0.2592], [0.9177, 0.4115, 0.2592], [0.4115, 0.9177, 0.2592], [0.5885, 0.5885, 0.7408], [0.5885, 0.0823, 0.7408], [0.0823, 0.5885, 0.7408]],
  "total_energy_ha_per_atom": -0.20089,
  "space_group": "R-3m",
  "ef_ev_per_fu": -7.4,
  "n_ef_per_ev_cell": 8.05
}

***

{
  "formula": "Dy3GaAg4S8",
  "functional": "PBE",
  "state": "relaxed",
  "lattice": [[7.9583, 0.0000, 0.0000], [0.0000, 11.4778, 0.5947], [-3.9791, -5.5354, 4.2330]],
  "species": ["Dy", "Dy", "Dy", "Ga", "Ag", "Ag", "Ag", "Ag", "S", "S", "S", "S", "S", "S", "S", "S"],
  "frac_coords": [[0.5000, 0.5000, 0.0000], [0.5000, 0.5000, 0.5000], [0.0000, 0.5000, 0.5000], [0.0000, 0.5000, 0.0000], [0.5000, 0.0000, 0.0000], [0.5000, 0.0000, 0.5000], [0.0000, 0.0000, 0.0000], [0.0000, 0.0000, 0.5000], [0.2676, 0.6831, 0.0739], [0.2733, 0.6856, 0.5466], [0.2168, 0.3118, 0.4337], [0.8063, 0.6831, 0.0739], [0.1937, 0.3169, 0.9261], [0.7832, 0.6882, 0.5663], [0.7267, 0.3144, 0.4534], [0.7324, 0.3169, 0.9261]],
  "total_energy_ha_per_atom": -0.17856,
  "space_group": "C2/m",
  "formation_energy_uncorrected_kj_per_mol_atoms": -99
}

***

{
  "formula": "TlFeS2",
  "functional": "PBE",
  "state": "relaxed",
  "lattice": [[-4.9615, -1.0765, -0.4679], [3.7143, -3.1808, -4.2892], [-0.0402, -2.5717, 6.3426]],
  "species": ["S", "S", "S", "S", "Tl", "Tl", "Fe", "Fe"],
  "frac_coords": [[0.3434, 0.6868, 0.9335], [0.6566, 0.3132, 0.0665], [0.0403, 0.0806, 0.2748], [0.9597, 0.9194, 0.7252], [0.6826, 0.3653, 0.6408], [0.3174, 0.6347, 0.3592], [0.2506, 0.0000, 0.0000], [0.7494, 0.0000, 0.0000]],
  "total_energy_ha_per_atom": -0.18906,
  "space_group": "C2/m",
  "formation_energy_uncorrected_kj_per_mol_atoms": -36,
  "n_ef_per_ev_cell": 4.38
}